# Se4ICl

Se4ICl after structural relaxation (PBE, the Alexandria database).

Size of the total moment = 0.000 μB/f.u.
DFT total energy = -0.1081 Ha/atom

```
Se4ICl
1.0
3.926 0.000 0.000
1.889 6.651 0.000
0.660 2.676 8.200
Se I Cl
4 1 1
Cartesian
0.000 0.000 0.000 Se
1.863 5.946 2.508 Se
1.492 1.750 0.009 Se
3.417 7.416 3.421 Se
3.883 2.693 4.518 I
4.062 3.643 0.091 Cl
```